## Ga2Fe2Ge (GGA-PBE)

Data for Ga2Fe2Ge after structural relaxation. Values from VASP.

space group: P4/mbm, No. 127
energy of formation: -0.08 eV/f.u.

Cell and atoms, written as Quantum ESPRESSO input:
```
&SYSTEM
  ibrav = 0, nat = 10, ntyp = 3
/
ATOMIC_SPECIES
Ga 69.72 Ga.upf
Fe 55.84 Fe.upf
Ge 72.64 Ge.upf
CELL_PARAMETERS angstrom
6.0516 0.0000 0.0000
0.0000 6.0516 0.0000
0.0000 0.0000 3.7246
ATOMIC_POSITIONS angstrom
Ga 0.9319 2.0939 0.0000
Ga 2.0939 5.1197 0.0000
Ga 3.9576 0.9319 0.0000
Ga 5.1197 3.9576 0.0000
Fe 0.9011 3.9269 1.8623
Fe 2.1247 0.9011 1.8623
Fe 3.9269 5.1505 1.8623
Fe 5.1505 2.1247 1.8623
Ge 0.0000 0.0000 1.8623
Ge 3.0258 3.0258 1.8623
```

---

## TiTc2Ge (GGA-PBE)

Data for TiTc2Ge after structural relaxation. Values from VASP.

space group: Immm, No. 71
energy of formation: 1.02 eV/f.u.

Cell and atoms, written as Quantum ESPRESSO input:
```
&SYSTEM
  ibrav = 0, nat = 4, ntyp = 3
/
ATOMIC_SPECIES
Ti 47.87 Ti.upf
Tc 98.00 Tc.upf
Ge 72.64 Ge.upf
CELL_PARAMETERS angstrom
-1.4030 2.1216 5.5840
1.4030 -2.1216 5.5840
1.4030 2.1216 -5.5840
ATOMIC_POSITIONS angstrom
Ti 0.0000 0.0000 0.0000
Tc 0.0000 0.0000 3.2144
Tc 0.0000 0.0000 7.9536
Ge 0.0000 0.0000 5.5840
```